Record 1
Compound: Pr2PaPN5
Source: Alexandria via LeMat-Bulk
Functional: PBE
Structure: optimized geometry

abc: 5.8425 6.4907 6.4907
angles: 90.00 90.00 90.00
Sites, in units of the cell vectors:
P (0.0000, 0.0000, 0.5000)
P (0.0000, 0.5000, 0.0000)
Pa (0.0000, 0.5000, 0.5000)
Pa (0.0000, 0.0000, 0.0000)
Pr (0.5000, 0.3285, 0.8285)
Pr (0.5000, 0.6715, 0.1715)
Pr (0.5000, 0.1715, 0.3285)
Pr (0.5000, 0.8285, 0.6715)
N (0.7960, 0.3624, 0.1376)
N (0.7960, 0.1376, 0.6376)
N (0.2040, 0.1376, 0.6376)
N (0.5000, 0.0000, 0.0000)
N (0.2040, 0.6376, 0.8624)
N (0.5000, 0.5000, 0.5000)
N (0.2040, 0.8624, 0.3624)
N (0.7960, 0.6376, 0.8624)
N (0.2040, 0.3624, 0.1376)
N (0.7960, 0.8624, 0.3624)

Results
space group	No. 127
final energy	-0.297	Ha/atom
formation energy (no corrections)	-0.73	eV/atom

Record 2
Compound: Er2GaPd8
Source: Alexandria via LeMat-Bulk
Functional: PBE
Structure: optimized geometry

abc: 4.5927 5.9467 7.9504
angles: 111.93 106.79 90.00
Sites, in units of the cell vectors:
Pd (0.3653, 0.1260, 0.7306)
Pd (0.6344, 0.3955, 0.2688)
Pd (0.9999, 0.2503, 0.9998)
Pd (0.1800, 0.1802, 0.3599)
Pd (0.0001, 0.7497, 0.0002)
Pd (0.8200, 0.8198, 0.6401)
Pd (0.3656, 0.6045, 0.7312)
Pd (0.6347, 0.8740, 0.2694)
Er (0.1894, 0.6892, 0.3788)
Er (0.8106, 0.3108, 0.6212)
Ga (0.5000, 0.0000, 0.0000)

Results
space group	No. 71
final energy	-0.205	Ha/atom